Entry 1:
First-principles (PBE) data for a relaxed structure of Na3HoCl6, as listed in OQMD via LeMat-Bulk.

Unit cell a=6.853 b=7.265 c=12.130 alpha=90.00 beta=123.55 gamma=90.00
Fractional coordinates of all 20 atoms:
Na (0.000, 0.000, 0.000)
Na (0.000, 0.500, 0.500)
Na (0.216, 0.078, 0.740)
Na (0.216, 0.422, 0.240)
Na (0.784, 0.578, 0.760)
Na (0.784, 0.922, 0.260)
Ho (0.500, 0.000, 0.500)
Ho (0.500, 0.500, 0.000)
Cl (0.120, 0.179, 0.435)
Cl (0.120, 0.321, 0.935)
Cl (0.253, 0.694, 0.422)
Cl (0.253, 0.806, 0.922)
Cl (0.399, 0.065, 0.260)
Cl (0.399, 0.435, 0.760)
Cl (0.601, 0.565, 0.240)
Cl (0.601, 0.935, 0.740)
Cl (0.747, 0.194, 0.078)
Cl (0.747, 0.306, 0.578)
Cl (0.880, 0.679, 0.065)
Cl (0.880, 0.821, 0.565)

space-group type = P2_1/c, No. 14

Entry 2:
First-principles (PBE) data for a relaxed structure of NaHoTl2Cl6, as listed in OQMD via LeMat-Bulk.

Unit cell a=7.471 b=7.471 c=7.471 alpha=121.45 beta=121.45 gamma=87.51
Fractional coordinates of all 10 atoms:
Na (0.000, 0.000, 0.000)
Ho (0.500, 0.500, 0.000)
Tl (0.250, 0.750, 0.500)
Tl (0.750, 0.250, 0.500)
Cl (0.186, 0.326, 0.512)
Cl (0.257, 0.257, 0.000)
Cl (0.326, 0.814, 0.140)
Cl (0.674, 0.186, 0.860)
Cl (0.743, 0.743, 0.000)
Cl (0.814, 0.674, 0.488)

space-group type = I4/m, No. 87

Entry 3:
First-principles (PBE) data for a relaxed structure of HoNbS2Cl2, as listed in OQMD via LeMat-Bulk.

Unit cell a=3.639 b=5.137 c=8.019 alpha=90.00 beta=90.00 gamma=90.00
Fractional coordinates of all 6 atoms:
Ho (0.000, 0.000, 0.000)
Nb (0.500, 0.500, 0.765)
S (0.000, 0.500, 0.985)
S (0.500, 0.000, 0.751)
Cl (0.000, 0.500, 0.543)
Cl (0.500, 0.000, 0.234)

space-group type = Pmm2, No. 25

Entry 4:
First-principles (PBE) data for a relaxed structure of Ho3ClO4, as listed in OQMD via LeMat-Bulk.

Unit cell a=3.849 b=3.849 c=8.742 alpha=90.00 beta=90.00 gamma=90.00
Fractional coordinates of all 8 atoms:
Ho (0.000, 0.000, 0.000)
Ho (0.500, 0.500, 0.264)
Ho (0.500, 0.500, 0.736)
Cl (0.000, 0.000, 0.500)
O (0.000, 0.500, 0.157)
O (0.000, 0.500, 0.843)
O (0.500, 0.000, 0.157)
O (0.500, 0.000, 0.843)

space-group type = P4/mmm, No. 123

Total energy values, unit eV/atom, following the record order: -3.959; -3.875; -5.940; -7.675.